Below is a relaxed structure of Nb3BiB2, with properties calculated at the PBE level.

The structure in extended XYZ format:
```
12
Lattice="3.376 0.000 0.000 -1.688 2.924 0.000 0.000 0.000 19.124" Properties=species:S:1:pos:R:3 pbc="T T T"
Nb 0.000 0.000 0.000
Nb 0.000 0.000 9.562
Nb 0.000 1.949 2.461
Nb 0.000 1.949 7.101
Nb 1.688 0.975 12.023
Nb 1.688 0.975 16.664
Bi 0.000 0.000 4.781
Bi 0.000 0.000 14.343
B 0.000 1.949 10.887
B 0.000 1.949 17.800
B 1.688 0.975 1.325
B 1.688 0.975 8.237
```

Computed properties:
* final energy: -8.310 eV/atom

=====

Below is a relaxed structure of AcSiNi, with properties calculated at the PBE level.

The structure in extended XYZ format:
```
12
Lattice="6.714 0.000 0.000 0.000 6.714 0.000 0.000 0.000 6.714" Properties=species:S:1:pos:R:3 pbc="T T T"
Ac 0.000 0.000 0.000
Ac 0.000 3.357 3.357
Ac 3.357 0.000 3.357
Ac 3.357 3.357 0.000
Si 1.679 1.679 1.679
Si 1.679 5.036 5.036
Si 5.036 1.679 5.036
Si 5.036 5.036 1.679
Ni 0.000 0.000 3.357
Ni 0.000 3.357 0.000
Ni 3.357 0.000 0.000
Ni 3.357 3.357 3.357
```

Computed properties:
* final energy: -4.962 eV/atom

=====

Below is a relaxed structure of Cd2ReSb, with properties calculated at the PBE level.

The structure in extended XYZ format:
```
16
Lattice="6.820 0.000 0.000 0.000 6.820 0.000 0.000 0.000 6.820" Properties=species:S:1:pos:R:3 pbc="T T T"
Cd 0.000 0.000 0.000
Cd 0.000 3.410 3.410
Cd 1.705 1.705 1.705
Cd 1.705 5.115 5.115
Cd 3.410 0.000 3.410
Cd 3.410 3.410 0.000
Cd 5.115 1.705 5.115
Cd 5.115 5.115 1.705
Re 1.705 1.705 5.115
Re 1.705 5.115 1.705
Re 5.115 1.705 1.705
Re 5.115 5.115 5.115
Sb 0.000 0.000 3.410
Sb 0.000 3.410 0.000
Sb 3.410 0.000 0.000
Sb 3.410 3.410 3.410
```

Computed properties:
* final energy: -3.810 eV/atom

=====

Below is a relaxed structure of NbFeCuB, with properties calculated at the PBE level.

The structure in extended XYZ format:
```
16
Lattice="5.755 0.000 0.000 0.000 5.755 0.000 0.000 0.000 5.755" Properties=species:S:1:pos:R:3 pbc="T T T"
Nb 0.000 0.000 0.000
Nb 0.000 2.877 2.877
Nb 2.877 0.000 2.877
Nb 2.877 2.877 0.000
Fe 1.439 1.439 4.316
Fe 1.439 4.316 1.439
Fe 4.316 1.439 1.439
Fe 4.316 4.316 4.316
Cu 0.000 0.000 2.877
Cu 0.000 2.877 0.000
Cu 2.877 0.000 0.000
Cu 2.877 2.877 2.877
B 1.439 1.439 1.439
B 1.439 4.316 4.316
B 4.316 1.439 4.316
B 4.316 4.316 1.439
```

Computed properties:
* final energy: -6.887 eV/atom

=====

Below is a relaxed structure of Hg2Os2O5, with properties calculated at the PBE level.

The structure in extended XYZ format:
```
9
Lattice="3.361 0.000 0.000 0.000 3.361 0.000 0.000 0.000 10.357" Properties=species:S:1:pos:R:3 pbc="T T T"
Hg 0.000 0.000 2.346
Hg 0.000 0.000 8.011
Os 1.681 1.681 0.000
Os 1.681 1.681 5.179
O 0.000 0.000 0.000
O 0.000 1.681 4.036
O 0.000 1.681 6.321
O 1.681 0.000 4.036
O 1.681 0.000 6.321
```

Computed properties:
* final energy: -5.100 eV/atom

=====

Below is a relaxed structure of YAl5Ag7, with properties calculated at the PBE level.

The structure in extended XYZ format:
```
13
Lattice="5.304 -4.647 0.000 5.304 4.647 0.000 -2.711 0.000 4.664" Properties=species:S:1:pos:R:3 pbc="T T T"
Y 0.000 0.000 0.000
Al 0.413 0.000 3.367
Al 7.973 2.285 0.017
Al 6.628 2.283 2.338
Al 7.973 -2.285 0.017
Al 6.628 -2.283 2.338
Ag 4.006 2.738 2.362
Ag 2.652 0.000 1.545
Ag 2.558 1.453 4.639
Ag 2.558 -1.453 4.639
Ag 5.161 0.000 3.061
Ag 7.504 0.000 1.301
Ag 4.006 -2.738 2.362
```

Computed properties:
* final energy: -3.671 eV/atom

=====

Below is a relaxed structure of Gd2Sn5, with properties calculated at the PBE level.

The structure in extended XYZ format:
```
14
Lattice="2.288 -17.531 0.000 2.288 17.531 0.000 0.000 0.000 4.606" Properties=species:S:1:pos:R:3 pbc="T T T"
Gd 2.288 15.083 0.000
Gd 2.288 10.385 0.000
Gd 2.288 -10.385 0.000
Gd 2.288 -15.083 0.000
Sn 0.000 0.000 2.303
Sn 2.288 12.663 2.303
Sn 2.288 7.728 2.303
Sn 2.288 4.863 0.000
Sn 2.288 2.493 2.303
Sn 2.288 0.000 0.000
Sn 2.288 -2.493 2.303
Sn 2.288 -4.863 0.000
Sn 2.288 -7.728 2.303
Sn 2.288 -12.663 2.303
```

Computed properties:
* final energy: -4.718 eV/atom

=====

Below is a relaxed structure of HfZnPd, with properties calculated at the PBE level.

The structure in extended XYZ format:
```
12
Lattice="4.367 0.000 0.000 0.000 8.938 0.000 0.000 0.000 5.286" Properties=species:S:1:pos:R:3 pbc="T T T"
Hf 0.000 1.791 1.321
Hf 0.000 7.147 3.964
Hf 2.183 2.678 3.964
Hf 2.183 6.260 1.321
Zn 0.000 4.469 0.000
Zn 0.000 4.469 2.643
Zn 2.183 0.000 0.000
Zn 2.183 0.000 2.643
Pd 0.000 0.984 3.964
Pd 0.000 7.954 1.321
Pd 2.183 3.485 1.321
Pd 2.183 5.453 3.964
```

Computed properties:
* calculated formation energy: -0.5696 eV per atom

=====

Below is a relaxed structure of Dy3YPt4, with properties calculated at the PBE level.

The structure in extended XYZ format:
```
8
Lattice="5.569 0.000 0.000 0.000 4.504 0.000 -0.013 0.000 7.037" Properties=species:S:1:pos:R:3 pbc="T T T"
Dy 0.000 0.000 0.000
Dy 1.216 0.000 3.519
Dy 2.782 2.252 0.958
Y 3.998 2.252 4.476
Pt 0.081 2.252 1.918
Pt 1.134 2.252 5.450
Pt 2.848 0.000 6.078
Pt 3.920 0.000 2.541
```

Computed properties:
* calculated formation energy: -1.2810 eV per atom

=====

Below is a relaxed structure of TmAsNO, with properties calculated at the PBE level.

The structure in extended XYZ format:
```
8
Lattice="4.198 0.000 0.000 0.000 4.198 0.000 0.000 0.000 6.877" Properties=species:S:1:pos:R:3 pbc="T T T"
Tm 1.050 1.050 0.912
Tm 3.149 3.149 5.965
As 1.050 3.149 3.439
As 3.149 1.050 3.439
N 1.050 1.050 3.203
N 3.149 3.149 3.674
O 1.050 3.149 0.000
O 3.149 1.050 0.000
```

Computed properties:
* final energy: -6.842 eV/atom

=====

Below is a relaxed structure of TaCd2Sn, with properties calculated at the PBE level.

The structure in extended XYZ format:
```
16
Lattice="6.970 0.000 0.000 0.000 6.970 0.000 0.000 0.000 6.970" Properties=species:S:1:pos:R:3 pbc="T T T"
Ta 0.000 0.000 0.000
Ta 0.000 3.485 3.485
Ta 3.485 0.000 3.485
Ta 3.485 3.485 0.000
Cd 0.000 0.000 3.485
Cd 0.000 3.485 0.000
Cd 1.742 1.742 1.742
Cd 1.742 5.227 5.227
Cd 3.485 0.000 0.000
Cd 3.485 3.485 3.485
Cd 5.227 1.742 5.227
Cd 5.227 5.227 1.742
Sn 1.742 1.742 5.227
Sn 1.742 5.227 1.742
Sn 5.227 1.742 1.742
Sn 5.227 5.227 5.227
```

Computed properties:
* final energy: -3.848 eV/atom

=====

Below is a relaxed structure of LiLuTeOs, with properties calculated at the PBE level.

The structure in extended XYZ format:
```
16
Lattice="6.612 0.000 0.000 0.000 6.612 0.000 0.000 0.000 6.612" Properties=species:S:1:pos:R:3 pbc="T T T"
Li 0.000 0.000 0.000
Li 0.000 3.306 3.306
Li 3.306 0.000 3.306
Li 3.306 3.306 0.000
Lu 1.653 1.653 1.653
Lu 1.653 4.959 4.959
Lu 4.959 1.653 4.959
Lu 4.959 4.959 1.653
Te 0.000 0.000 3.306
Te 0.000 3.306 0.000
Te 3.306 0.000 0.000
Te 3.306 3.306 3.306
Os 1.653 1.653 4.959
Os 1.653 4.959 1.653
Os 4.959 1.653 1.653
Os 4.959 4.959 4.959
```

Computed properties:
* final energy: -5.188 eV/atom

=====

Below is a relaxed structure of TbSmNi2C2N2, with properties calculated at the PBE level.

The structure in extended XYZ format:
```
8
Lattice="3.505 0.000 0.000 0.000 3.505 0.000 0.000 0.000 7.375" Properties=species:S:1:pos:R:3 pbc="T T T"
Tb 0.000 0.000 0.000
Sm 1.753 1.753 2.569
Ni 0.000 1.753 4.977
Ni 1.753 0.000 4.977
C 0.000 0.000 3.781
C 1.753 1.753 6.127
N 0.000 0.000 2.382
N 1.753 1.753 0.150
```

Computed properties:
* final energy: -7.552 eV/atom

=====

Below is a relaxed structure of Zr5SnPb3, with properties calculated at the PBE level.

The structure in extended XYZ format:
```
18
Lattice="8.936 0.000 0.000 -4.468 7.739 0.000 0.000 0.000 6.027" Properties=species:S:1:pos:R:3 pbc="T T T"
Zr -1.245 2.157 1.507
Zr -3.223 5.582 4.521
Zr 2.491 0.000 1.507
Zr 1.245 2.157 4.521
Zr 0.000 5.159 0.000
Zr 0.000 5.159 3.014
Zr 4.468 2.580 0.000
Zr 4.468 2.580 3.014
Zr 6.446 0.000 4.521
Zr 3.223 5.582 1.507
Sn 0.000 0.000 0.000
Sn 0.000 0.000 3.014
Pb -1.723 2.984 4.521
Pb -2.745 4.755 1.507
Pb 3.446 0.000 4.521
Pb 1.723 2.984 1.507
Pb 5.491 0.000 1.507
Pb 2.745 4.755 4.521
```

Computed properties:
* final energy: -6.780 eV/atom

=====

Below is a relaxed structure of Ho2Al3GaNi2, with properties calculated at the PBE level.

The structure in extended XYZ format:
```
16
Lattice="10.074 0.000 0.000 0.000 4.044 0.000 -0.003 0.000 6.849" Properties=species:S:1:pos:R:3 pbc="T T T"
Ho 0.000 0.000 0.000
Ho 1.253 0.000 3.427
Ho 5.037 2.022 0.000
Ho 6.290 2.022 3.427
Al 2.192 2.022 1.338
Al 4.096 0.000 2.086
Al 4.095 0.000 4.763
Al 7.229 0.000 1.338
Al 9.133 2.022 2.086
Al 9.132 2.022 4.763
Ga 2.187 2.022 5.510
Ga 7.224 0.000 5.510
Ni 2.798 0.000 0.002
Ni 3.493 2.022 3.425
Ni 7.835 2.022 0.002
Ni 8.530 0.000 3.425
```

Computed properties:
* final energy: -4.967 eV/atom

=====

Below is a relaxed structure of GdGaO3, with properties calculated at the PBE level.

The structure in extended XYZ format:
```
20
Lattice="5.571 0.000 0.000 0.000 7.608 0.000 0.000 0.000 5.305" Properties=species:S:1:pos:R:3 pbc="T T T"
Gd 0.364 1.902 0.096
Gd 2.422 5.706 2.748
Gd 3.150 1.902 2.557
Gd 5.207 5.706 5.210
Ga 0.000 0.000 2.653
Ga 0.000 3.804 2.653
Ga 2.786 0.000 0.000
Ga 2.786 3.804 0.000
O 0.183 5.706 2.104
O 1.104 4.210 4.258
O 1.104 7.202 4.258
O 1.681 0.406 1.606
O 1.681 3.398 1.606
O 2.603 1.902 4.756
O 2.969 5.706 0.549
O 3.890 4.210 3.700
O 3.890 7.202 3.700
O 4.467 0.406 1.047
O 4.467 3.398 1.047
O 5.388 1.902 3.202
```

Computed properties:
* final energy: -7.205 eV/atom

=====

Below is a relaxed structure of Ba2CuAgSb2, with properties calculated at the PBE level.

The structure in extended XYZ format:
```
6
Lattice="4.783 0.000 0.000 -2.392 4.143 0.000 0.000 0.000 9.488" Properties=species:S:1:pos:R:3 pbc="T T T"
Ba 0.000 0.000 2.355
Ba 0.000 0.000 7.133
Cu 2.392 1.381 0.000
Ag 0.000 2.762 4.744
Sb 0.000 2.762 0.000
Sb 2.392 1.381 4.744
```

Computed properties:
* final energy: -3.837 eV/atom

=====

Below is a relaxed structure of KHoTmTe3, with properties calculated at the PBE level.

The structure in extended XYZ format:
```
12
Lattice="2.301 -8.152 0.000 2.301 8.152 0.000 0.000 0.000 11.809" Properties=species:S:1:pos:R:3 pbc="T T T"
K 2.301 4.103 8.857
K 2.301 -4.103 2.952
Ho 2.301 0.000 0.000
Ho 2.301 0.000 5.905
Tm 2.301 7.589 2.952
Tm 2.301 -7.589 8.857
Te 2.301 6.040 0.535
Te 2.301 6.040 5.369
Te 2.301 1.221 2.952
Te 2.301 -1.221 8.857
Te 2.301 -6.040 6.440
Te 2.301 -6.040 11.274
```

Computed properties:
* final energy: -4.439 eV/atom

=====

Below is a relaxed structure of NpReHg, with properties calculated at the PBE level.

The structure in extended XYZ format:
```
12
Lattice="6.550 0.000 0.000 0.000 6.550 0.000 0.000 0.000 6.550" Properties=species:S:1:pos:R:3 pbc="T T T"
Np 0.000 0.000 0.000
Np 0.000 3.275 3.275
Np 3.275 0.000 3.275
Np 3.275 3.275 0.000
Re 1.637 1.637 1.637
Re 1.637 4.912 4.912
Re 4.912 1.637 4.912
Re 4.912 4.912 1.637
Hg 1.637 1.637 4.912
Hg 1.637 4.912 1.637
Hg 4.912 1.637 1.637
Hg 4.912 4.912 4.912
```

Computed properties:
* calculated formation energy: 1.2857 eV per atom

=====

Below is a relaxed structure of HoAgSnTe3, with properties calculated at the PBE level.

The structure in extended XYZ format:
```
12
Lattice="2.155 -7.357 0.000 2.155 7.357 0.000 0.000 0.000 11.093" Properties=species:S:1:pos:R:3 pbc="T T T"
Ho 0.000 0.000 0.000
Ho 0.000 0.000 5.547
Ag 2.155 0.404 8.320
Ag 2.155 -0.404 2.773
Sn 2.155 3.970 2.773
Sn 2.155 -3.970 8.320
Te 2.155 5.931 8.320
Te 2.155 2.164 6.147
Te 2.155 2.164 10.493
Te 2.155 -2.164 0.600
Te 2.155 -2.164 4.946
Te 2.155 -5.931 2.773
```

Computed properties:
* final energy: -4.124 eV/atom

=====

V readings, ordered: 15.73, 25.23, 19.82, 11.91, 13.00, 17.69, 26.40, 17.19, 22.07, 15.15, 21.16, 18.06, 11.33, 23.16, 17.44, 11.24, 31.33, 36.91, 23.41, 29.31 Å³/atom